Entry 1:
Below is a relaxed structure of AlSi6PtPb, with properties calculated at the GGA-PBE level.

Results
Space-group type ... F-43m (216)
Calculated total energy ... -3.95 eV per atom
Total magnetization ... 0.0 μB/cell
V ... 29.60 A^3/atom

Unit cell a=7.223 b=7.223 c=7.223 alpha=60.00 beta=60.00 gamma=60.00
Fractional coordinates of all 9 atoms:
Al: 0.750 0.750 0.750
Pb: 0.000 0.000 0.000
Pt: 0.500 0.500 0.500
Si: 0.731 0.731 0.269
Si: 0.731 0.269 0.269
Si: 0.269 0.731 0.269
Si: 0.731 0.269 0.731
Si: 0.269 0.269 0.731
Si: 0.269 0.731 0.731


Entry 2:
Below is a relaxed structure of NdThHg, with properties calculated at the GGA-PBE level.

Results
Space-group type ... F-43m (216)
Calculated total energy ... -4.07 eV per atom
Polymorph energy (0 for the lowest one) ... 0 meV/atom
Total magnetization ... 0.5 μB/cell
V ... 33.69 A^3/atom
Formation energy from the elements ... 0.27 eV/f.u.

Unit cell a=5.228 b=5.228 c=5.228 alpha=60.00 beta=60.00 gamma=60.00
Each line ends with the local moment (μB).
Fractional coordinates of all 3 atoms:
Hg: 0.000 0.000 0.000  0.01
Nd: 0.250 0.250 0.250  0.11
Th: 0.750 0.750 0.750  0.13


Entry 3:
Below is a relaxed structure of GdHoTa, with properties calculated at the GGA-PBE level.

Results
Space-group type ... F-43m (216)
Calculated total energy ... -5.74 eV per atom
Total magnetization ... 1.4 μB/cell
V ... 29.48 A^3/atom
Formation energy from the elements ... 3.87 eV/f.u.

Unit cell a=5.001 b=5.001 c=5.001 alpha=60.00 beta=60.00 gamma=60.00
Fractional coordinates of all 3 atoms:
Gd: 0.250 0.250 0.250
Ho: 0.000 0.000 0.000
Ta: 0.750 0.750 0.750


Entry 4:
Below is a relaxed structure of Dy3Tm3FeTe2, with properties calculated at the GGA-PBE level.

Results
Space-group type ... P-62m (189)
Calculated total energy ... -5.23 eV per atom
Polymorph energy (0 for the lowest one) ... 50 meV/atom
Total magnetization ... 0.4 μB/cell
V ... 25.92 A^3/atom

Unit cell a=8.276 b=8.276 c=3.933 alpha=90.00 beta=90.00 gamma=120.00
Each line ends with the local moment (μB).
Fractional coordinates of all 9 atoms:
Dy: 0.237 0.000 0.500  0.14
Dy: 0.000 0.237 0.500  0.14
Dy: 0.763 0.763 0.500  0.15
Fe: 0.000 0.000 0.000  -1.19
Te: 0.667 0.333 0.500  0.00
Te: 0.333 0.667 0.500  0.00
Tm: 0.604 0.000 0.000  0.07
Tm: 0.396 0.396 0.000  0.07
Tm: 0.000 0.604 0.000  0.05


Q: Which value of calculated total energy does entry 3 give?
A: -5.74 eV per atom


Q: What is the V in the first record?
A: 29.60 A^3/atom